No. 1
A geometry-optimized TlAs4Pb structure. Source: Alexandria, functional PBE-GGA.

Output
The calculation puts the density of states at the Fermi level at 0.76 states/eV/atom. The energy of formation is 226 meV/atom. The magnetic moment comes out at 0.0 μB per formula unit.

a = 8.3784 Å, b = 8.3784 Å, c = 8.3784 Å
α = 90.00°, β = 90.00°, γ = 90.00°
Space group F-43m (No. 216)
Symmetry-distinct sites (fractional):
Tl 0.0000 0.0000 0.0000
As 0.1149 0.1149 0.6149
Pb 0.2500 0.2500 0.2500

***

No. 2
A geometry-optimized CaAc6Nd4 structure. Source: Alexandria, functional PBE-GGA.

Output
The calculation puts the density of states at the Fermi level at 1.32 states/eV/atom. The energy of formation is 288 meV/atom. The magnetic moment comes out at 0.0 μB per formula unit.

a = 8.7600 Å, b = 8.7600 Å, c = 12.9439 Å
α = 90.00°, β = 90.00°, γ = 90.00°
Space group I-42m (No. 121)
Symmetry-distinct sites (fractional):
Ca 0.0000 0.0000 0.0000
Ac 0.0000 0.5000 0.0000
Ac 0.1844 0.1844 0.7220
Nd 0.1597 0.1597 0.4337